1.
HfTi3Cu: relaxed, GGA-PBE.

The value obtained for the total magnetization is 0.0 μB per formula unit. The value obtained for the relative energy among the computed polymorphs is 1.229 eV/atom.

Cell lengths 4.819, 4.819, 4.819 Å; angles 90.00, 90.00, 90.00 degrees
Element x y z (fractional)
Ti 0.500 0.000 0.000
Ti 0.000 0.500 0.000
Ti 0.000 0.000 0.500
Hf 0.000 0.000 0.000
Cu 0.500 0.500 0.500

2.
Li2TlB2Pt5: relaxed, GGA-PBE.

The value obtained for the total magnetization is 0.0 μB per formula unit.

Cell lengths 3.136, 9.699, 9.699 Å; angles 90.00, 90.00, 90.00 degrees
Element x y z (fractional)
Pt 0.500 0.227 0.073
Pt 0.500 0.573 0.727
Pt 0.500 0.773 0.927
Pt 0.500 0.073 0.773
Pt 0.500 0.927 0.227
Pt 0.500 0.273 0.573
Pt 0.500 0.000 0.500
Pt 0.500 0.727 0.427
Pt 0.500 0.427 0.273
Pt 0.500 0.500 0.000
Li 0.000 0.825 0.675
Li 0.000 0.175 0.325
Li 0.000 0.675 0.175
Li 0.000 0.325 0.825
B 0.000 0.377 0.123
B 0.000 0.623 0.877
B 0.000 0.877 0.377
B 0.000 0.123 0.623
Tl 0.000 0.500 0.500
Tl 0.000 0.000 0.000

3.
Tm2TlCd: relaxed, GGA-PBE.

The value obtained for the total magnetization is 0.0 μB per formula unit.

Cell lengths 3.734, 3.734, 7.405 Å; angles 90.00, 90.00, 90.00 degrees
Element x y z (fractional)
Tm 0.000 0.000 0.256
Tm 0.000 0.000 0.744
Cd 0.500 0.500 0.500
Tl 0.500 0.500 0.000

In eV per atom, the energy of formation values for the records above are, in order, 1.41; -0.36; -0.31.